The following is a DFT calculation (PBE) of an optimized crystal structure of Sn3HgSb.

* relative energy among the computed polymorphs: 258.4 meV/atom
* raw formation energy: 269 kJ/mol of formula units
* Fermi-level density of states: 2.755 states/eV/cell
* total magnetic moment: 0.0 Bohr magnetons per cell

Lattice parameters (Å, degrees): 5.5300 5.5300 5.5300 90.00 90.00 90.00
Positions (direct):
Sn: 0.0000 0.0000 0.5000
Sn: 0.0000 0.5000 0.0000
Sn: 0.5000 0.0000 0.0000
Hg: 0.0000 0.0000 0.0000
Sb: 0.5000 0.5000 0.5000

***

The following is a DFT calculation (PBE) of an optimized crystal structure of Pm12ZrIn3.

* Fermi-level density of states: 21.334 states/eV/cell
* total magnetic moment: 0.0 Bohr magnetons per cell
* electronic total energy: -4.7850 eV per atom

Lattice parameters (Å, degrees): 4.9431 4.9431 20.0610 90.00 90.00 90.00
Positions (direct):
Pm: 0.0000 0.0000 0.0000
Pm: 0.0000 0.0000 0.2486
Pm: 0.0000 0.0000 0.5000
Pm: 0.0000 0.0000 0.7514
Pm: 0.0000 0.5000 0.1247
Pm: 0.0000 0.5000 0.3757
Pm: 0.0000 0.5000 0.6243
Pm: 0.0000 0.5000 0.8753
Pm: 0.5000 0.0000 0.1247
Pm: 0.5000 0.0000 0.3757
Pm: 0.5000 0.0000 0.6243
Pm: 0.5000 0.0000 0.8753
Zr: 0.5000 0.5000 0.5000
In: 0.5000 0.5000 0.0000
In: 0.5000 0.5000 0.2469
In: 0.5000 0.5000 0.7531

***

The following is a DFT calculation (PBE) of an optimized crystal structure of LaN2O.

* relative energy among the computed polymorphs: 1833.7 meV/atom
* raw formation energy: 208 kJ/mol of formula units
* Fermi-level density of states: 1.414 states/eV/cell
* total magnetic moment: 0.0 Bohr magnetons per cell

Lattice parameters (Å, degrees): 4.5322 4.5322 4.5322 50.68 50.68 50.68
Positions (direct):
La: 0.0000 0.0000 0.0000
N: 0.1994 0.1994 0.1994
N: 0.8006 0.8006 0.8006
O: 0.5000 0.5000 0.5000

***

The following is a DFT calculation (PBE) of an optimized crystal structure of K2La2US6.

* raw formation energy: -1870 kJ/mol of formula units
* Fermi-level density of states: 6.939 states/eV/cell
* total magnetic moment: 2.0 Bohr magnetons per cell

Lattice parameters (Å, degrees): 7.2744 7.2744 7.8449 98.95 98.95 119.52
Positions (direct):
K: 0.1688 0.8312 0.0000
K: 0.8312 0.1688 0.0000
La: 0.3343 0.6657 0.5000
La: 0.6657 0.3343 0.5000
U: 0.0000 0.0000 0.5000
S: 0.0614 0.3817 0.6967
S: 0.2440 0.2440 0.3030
S: 0.3817 0.0614 0.6967
S: 0.6183 0.9386 0.3033
S: 0.7560 0.7560 0.6970
S: 0.9386 0.6183 0.3033

***

The following is a DFT calculation (PBE) of an optimized crystal structure of ZrZn4Ir.

* relative energy among the computed polymorphs: 184.9 meV/atom
* Fermi-level density of states: 6.439 states/eV/cell
* total magnetic moment: 0.0 Bohr magnetons per cell

Lattice parameters (Å, degrees): 7.2271 7.2271 7.2271 126.13 126.13 79.68
Positions (direct):
Zr: 0.0000 0.0000 0.0000
Zr: 0.5000 0.5000 0.0000
Zn: 0.0765 0.5765 0.9299
Zn: 0.1466 0.0765 0.5000
Zn: 0.3534 0.8534 0.9299
Zn: 0.4235 0.3534 0.5000
Zn: 0.5765 0.6466 0.5000
Zn: 0.6466 0.1466 0.0701
Zn: 0.8534 0.9235 0.5000
Zn: 0.9235 0.4235 0.0701
Ir: 0.2500 0.2500 0.0000
Ir: 0.7500 0.7500 0.0000

***

The following is a DFT calculation (PBE) of an optimized crystal structure of Nb4Te3Se.

* raw formation energy: -147 kJ/mol of formula units
* Fermi-level density of states: 9.123 states/eV/cell
* total magnetic moment: 0.0 Bohr magnetons per cell

Lattice parameters (Å, degrees): 10.1964 6.2481 5.2975 90.00 90.00 90.00
Positions (direct):
Nb: 0.0000 0.0671 0.0000
Nb: 0.0000 0.3587 0.4854
Nb: 0.2312 0.3392 0.8220
Nb: 0.2688 0.6608 0.3220
Nb: 0.5000 0.6413 0.9854
Nb: 0.5000 0.9329 0.5000
Nb: 0.7312 0.6608 0.3220
Nb: 0.7688 0.3392 0.8220
Te: 0.0000 0.8074 0.4465
Te: 0.2431 0.1849 0.3261
Te: 0.2569 0.8151 0.8261
Te: 0.5000 0.1926 0.9465
Te: 0.7431 0.8151 0.8261
Te: 0.7569 0.1849 0.3261
Se: 0.0000 0.4714 0.9712
Se: 0.5000 0.5286 0.4712

***

The following is a DFT calculation (PBE) of an optimized crystal structure of Zr2Tl2Hg.

* relative energy among the computed polymorphs: 47.7 meV/atom
* Fermi-level density of states: 5.125 states/eV/cell
* total magnetic moment: 0.0 Bohr magnetons per cell

Lattice parameters (Å, degrees): 7.6656 7.6656 4.0447 90.00 90.00 90.00
Positions (direct):
Zr: 0.1725 0.3275 0.0000
Zr: 0.3275 0.8275 0.0000
Zr: 0.6725 0.1725 0.0000
Zr: 0.8275 0.6725 0.0000
Tl: 0.1326 0.6326 0.5000
Tl: 0.3674 0.1326 0.5000
Tl: 0.6326 0.8674 0.5000
Tl: 0.8674 0.3674 0.5000
Hg: 0.0000 0.0000 0.5000
Hg: 0.5000 0.5000 0.5000

***

The following is a DFT calculation (PBE) of an optimized crystal structure of TlAgSe2.

* raw formation energy: 19 kJ/mol of formula units
* Fermi-level density of states: 2.781 states/eV/cell
* total magnetic moment: 0.0 Bohr magnetons per cell

Lattice parameters (Å, degrees): 3.8996 3.9235 6.4898 90.00 90.00 90.00
Positions (direct):
Tl: 0.0000 0.0000 0.0000
Ag: 0.0000 0.0000 0.5000
Se: 0.5000 0.5000 0.3047
Se: 0.5000 0.5000 0.6953

***

The following is a DFT calculation (PBE) of an optimized crystal structure of Sn7Ir2Os.

* Fermi-level density of states: 7.045 states/eV/cell
* total magnetic moment: 0.0 Bohr magnetons per cell
* electronic total energy: -5.8906 eV per atom

Lattice parameters (Å, degrees): 9.4795 8.2173 8.2206 70.43 54.77 54.80
Positions (direct):
Sn: 0.1240 0.3770 0.6230
Sn: 0.1243 0.8757 0.1243
Sn: 0.2988 0.6263 0.7012
Sn: 0.3009 0.9544 0.3711
Sn: 0.3739 0.3739 0.1261
Sn: 0.3770 0.1240 0.8760
Sn: 0.6263 0.2988 0.3737
Sn: 0.6265 0.6289 0.0456
Sn: 0.6289 0.6265 0.6991
Sn: 0.6290 0.9520 0.3710
Sn: 0.8739 0.8739 0.6261
Sn: 0.8757 0.1243 0.8757
Sn: 0.9520 0.6290 0.0480
Sn: 0.9544 0.3009 0.3735
Ir: 0.2836 0.9700 0.7164
Ir: 0.2854 0.6268 0.3732
Ir: 0.6268 0.2854 0.7146
Ir: 0.9700 0.2836 0.0300
Os: 0.6268 0.9713 0.0287
Os: 0.9713 0.6268 0.3732

***

The following is a DFT calculation (PBE) of an optimized crystal structure of BaCdSe2.

* raw formation energy: -474 kJ/mol of formula units
* Fermi-level density of states: 0.000 states/eV/cell
* total magnetic moment: 0.0 Bohr magnetons per cell

Lattice parameters (Å, degrees): 6.9866 6.9866 6.9866 112.73 112.73 103.14
Positions (direct):
Ba: 0.0000 0.0000 0.0000
Ba: 0.7500 0.2500 0.5000
Cd: 0.2500 0.7500 0.5000
Cd: 0.5000 0.5000 0.0000
Se: 0.1811 0.6250 0.0561
Se: 0.3750 0.4311 0.5561
Se: 0.5689 0.1250 0.9439
Se: 0.8750 0.8189 0.4439

***

The following is a DFT calculation (PBE) of an optimized crystal structure of MnCr.

* Fermi-level density of states: 18.061 states/eV/cell
* total magnetic moment: 0.0 Bohr magnetons per cell
* electronic total energy: -9.2680 eV per atom

Lattice parameters (Å, degrees): 9.2332 4.0598 4.8183 90.00 90.00 90.00
Positions (direct):
Mn: 0.0662 0.2500 0.1662
Mn: 0.1743 0.7500 0.4887
Mn: 0.3257 0.2500 0.9887
Mn: 0.4338 0.7500 0.6662
Mn: 0.5662 0.2500 0.3338
Mn: 0.6743 0.7500 0.0113
Mn: 0.8257 0.2500 0.5113
Mn: 0.9338 0.7500 0.8338
Cr: 0.0680 0.2500 0.6723
Cr: 0.1847 0.7500 0.9836
Cr: 0.3153 0.2500 0.4836
Cr: 0.4320 0.7500 0.1723
Cr: 0.5680 0.2500 0.8277
Cr: 0.6847 0.7500 0.5164
Cr: 0.8153 0.2500 0.0164
Cr: 0.9320 0.7500 0.3277

***

The following is a DFT calculation (PBE) of an optimized crystal structure of Ca2LaPb.

* Fermi-level density of states: 4.058 states/eV/cell
* total magnetic moment: 0.0 Bohr magnetons per cell
* electronic total energy: -3.3113 eV per atom

Lattice parameters (Å, degrees): 6.3319 6.3319 3.7443 90.00 90.00 112.02
Positions (direct):
Ca: 0.0000 0.5000 0.0000
Ca: 0.5000 0.0000 0.0000
La: 0.0000 0.0000 0.5000
Pb: 0.5000 0.5000 0.5000

***

The following is a DFT calculation (PBE) of an optimized crystal structure of CsTlCd2Cu.

* Fermi-level density of states: 2.260 states/eV/cell
* total magnetic moment: 0.0 Bohr magnetons per cell
* electronic total energy: -1.7524 eV per atom

Lattice parameters (Å, degrees): 5.3569 5.3569 5.4417 90.00 90.00 90.00
Positions (direct):
Cs: 0.0000 0.0000 0.0000
Tl: 0.5000 0.5000 0.0000
Cd: 0.0000 0.5000 0.5000
Cd: 0.5000 0.0000 0.5000
Cu: 0.5000 0.5000 0.5000

***

The following is a DFT calculation (PBE) of an optimized crystal structure of CdCoOs2.

* Fermi-level density of states: 5.295 states/eV/cell
* total magnetic moment: 0.7 Bohr magnetons per cell
* electronic total energy: -6.8712 eV per atom

Lattice parameters (Å, degrees): 4.9124 4.9124 2.7393 90.00 90.00 116.19
Positions (direct):
Cd: 0.0000 0.0000 0.0000
Co: 0.5000 0.5000 0.0000
Os: 0.0000 0.5000 0.5000
Os: 0.5000 0.0000 0.5000

***

The following is a DFT calculation (PBE) of an optimized crystal structure of Sm2DyAu4.

* Fermi-level density of states: 5.053 states/eV/cell
* total magnetic moment: 0.0 Bohr magnetons per cell
* electronic total energy: -4.5622 eV per atom

Lattice parameters (Å, degrees): 7.4853 7.4853 7.4853 138.97 138.97 59.43
Positions (direct):
Sm: 0.2227 0.2227 0.0000
Sm: 0.7773 0.7773 0.0000
Dy: 0.5000 0.5000 0.0000
Au: 0.1167 0.6167 0.5000
Au: 0.3833 0.8833 0.5000
Au: 0.6167 0.1167 0.5000
Au: 0.8833 0.3833 0.5000

***

The following is a DFT calculation (PBE) of an optimized crystal structure of Zr3As2N.

* raw formation energy: -590 kJ/mol of formula units
* Fermi-level density of states: 5.166 states/eV/cell
* total magnetic moment: 0.0 Bohr magnetons per cell

Lattice parameters (Å, degrees): 6.2380 6.2380 5.8547 90.00 90.00 74.38
Positions (direct):
Zr: 0.1449 0.8551 0.7500
Zr: 0.3410 0.3410 0.0000
Zr: 0.3410 0.3410 0.5000
Zr: 0.6590 0.6590 0.0000
Zr: 0.6590 0.6590 0.5000
Zr: 0.8551 0.1449 0.2500
As: 0.0369 0.6745 0.2500
As: 0.3255 0.9631 0.2500
As: 0.6745 0.0369 0.7500
As: 0.9631 0.3255 0.7500
N: 0.4372 0.5628 0.7500
N: 0.5628 0.4372 0.2500

***

The following is a DFT calculation (PBE) of an optimized crystal structure of FeCo2As.

* Fermi-level density of states: 5.185 states/eV/cell
* total magnetic moment: 5.1 Bohr magnetons per cell
* electronic total energy: -6.8302 eV per atom

Lattice parameters (Å, degrees): 3.8314 3.8314 3.2612 90.00 90.00 90.00
Positions (direct):
Fe: 0.0000 0.0000 0.0000
Co: 0.0000 0.5000 0.5000
Co: 0.5000 0.0000 0.5000
As: 0.5000 0.5000 0.0000

***

The following is a DFT calculation (PBE) of an optimized crystal structure of Zr9Sc4Al11.

* Fermi-level density of states: 20.525 states/eV/cell
* total magnetic moment: 0.6 Bohr magnetons per cell
* electronic total energy: -6.3362 eV per atom

Lattice parameters (Å, degrees): 12.4715 12.4715 3.0465 90.00 90.00 94.27
Positions (direct):
Zr: 0.0000 0.0000 0.0000
Zr: 0.1241 0.6329 0.0000
Zr: 0.2941 0.4658 0.0000
Zr: 0.3671 0.8759 0.0000
Zr: 0.4658 0.2941 0.0000
Zr: 0.5342 0.7059 0.0000
Zr: 0.6329 0.1241 0.0000
Zr: 0.7059 0.5342 0.0000
Zr: 0.8759 0.3671 0.0000
Sc: 0.0601 0.2277 0.0000
Sc: 0.2277 0.0601 0.0000
Sc: 0.7723 0.9399 0.0000
Sc: 0.9399 0.7723 0.0000
Al: 0.0836 0.4286 0.5000
Al: 0.1466 0.8534 0.5000
Al: 0.2621 0.2621 0.5000
Al: 0.3301 0.6699 0.5000
Al: 0.4286 0.0836 0.5000
Al: 0.5000 0.5000 0.5000
Al: 0.5714 0.9164 0.5000
Al: 0.6699 0.3301 0.5000
Al: 0.7379 0.7379 0.5000
Al: 0.8534 0.1466 0.5000
Al: 0.9164 0.5714 0.5000

***

The following is a DFT calculation (PBE) of an optimized crystal structure of Tl2RhCl.

* relative energy among the computed polymorphs: 24.4 meV/atom
* raw formation energy: -56 kJ/mol of formula units
* Fermi-level density of states: 1.411 states/eV/cell
* total magnetic moment: 0.0 Bohr magnetons per cell

Lattice parameters (Å, degrees): 3.3398 3.3877 8.1733 90.00 90.92 90.00
Positions (direct):
Tl: 0.0099 0.0000 0.2090
Tl: 0.9901 0.0000 0.7910
Rh: 0.5000 0.5000 0.0000
Cl: 0.0000 0.5000 0.5000

***

The following is a DFT calculation (PBE) of an optimized crystal structure of AcTl4Cd3O12.

* raw formation energy: -1743 kJ/mol of formula units
* Fermi-level density of states: 8.134 states/eV/cell
* total magnetic moment: 3.1 Bohr magnetons per cell

Lattice parameters (Å, degrees): 7.3014 7.3014 7.3014 109.47 109.47 109.47
Positions (direct):
Ac: 0.0000 0.0000 0.0000
Tl: 0.0000 0.0000 0.5000
Tl: 0.0000 0.5000 0.0000
Tl: 0.5000 0.0000 0.0000
Tl: 0.5000 0.5000 0.5000
Cd: 0.0000 0.5000 0.5000
Cd: 0.5000 0.0000 0.5000
Cd: 0.5000 0.5000 0.0000
O: 0.1315 0.2967 0.8348
O: 0.1652 0.4618 0.2967
O: 0.1652 0.8685 0.7033
O: 0.2967 0.1652 0.4618
O: 0.2967 0.8348 0.1315
O: 0.4618 0.2967 0.1652
O: 0.5382 0.7033 0.8348
O: 0.7033 0.1652 0.8685
O: 0.7033 0.8348 0.5382
O: 0.8348 0.1315 0.2967
O: 0.8348 0.5382 0.7033
O: 0.8685 0.7033 0.1652